Sc2CdRh3: relaxed, PBE.

Cell lengths 4.569, 4.569, 5.533 Å; angles 90.00, 90.00, 120.00 degrees
Fractional positions:
Sc  0.667  0.333  0.318
Sc  0.333  0.667  0.682
Cd  0.000  0.000  0.000
Rh  0.000  0.000  0.500
Rh  0.667  0.333  0.813
Rh  0.333  0.667  0.187

Summary:
- formation enthalpy at 0 K (eV per atom) = -0.795
- space-group type = P-3m1, No. 164
- energy above the most stable polymorph in this dataset (eV per atom) = 0.0000

---

Ta2CoIr: relaxed, PBE.

Cell lengths 4.212, 3.000, 5.196 Å; angles 73.26, 90.00, 90.00 degrees
Fractional positions:
Ir  0.500  0.541  0.794
Co  0.000  0.721  0.431
Ta  0.000  0.971  0.936
Ta  0.500  0.267  0.339

Summary:
- formation enthalpy at 0 K (eV per atom) = -0.378
- space-group type = Amm2, No. 38

---

HfScNb2Pd: relaxed, PBE.

Cell lengths 4.940, 4.934, 4.940 Å; angles 90.00, 90.00, 90.00 degrees
Fractional positions:
Sc  0.500  0.500  0.500
Nb  0.000  0.000  0.500
Nb  0.500  0.000  0.000
Hf  0.000  0.500  0.000
Pd  0.000  0.000  0.000

Summary:
- formation enthalpy at 0 K (eV per atom) = 0.821
- space-group type = P4/mmm, No. 123